Record 1
Computed, not measured: a geometry-optimized SrLiCeIr structure at the GGA-PBE level of DFT.

a = 7.239 Å, b = 7.239 Å, c = 7.239 Å
α = 90.00°, β = 90.00°, γ = 90.00°
Space group F-43m (No. 216)
One atom of each set of equivalent atoms:
Sr 0.000 0.000 0.000
Li 0.250 0.250 0.750
Ce 0.000 0.000 0.500
Ir 0.250 0.250 0.250

**Density of states at the Fermi level**: 28.3 states/eV per cell
**Spin magnetization**: 1.0 μB per formula unit
**E**: -4.74 eV per atom

=====

Record 2
Computed, not measured: a geometry-optimized Na5Li2Sn12 structure at the GGA-PBE level of DFT.

a = 18.319 Å, b = 8.247 Å, c = 7.065 Å
α = 90.00°, β = 97.06°, γ = 90.00°
Space group C2/m (No. 12)
One atom of each set of equivalent atoms:
Na 0.000 0.000 0.000
Na 0.193 0.500 0.545
Na 0.240 0.000 0.911
Li 0.000 0.301 0.500
Sn 0.046 0.500 0.196
Sn 0.083 0.000 0.566
Sn 0.109 0.303 0.856
Sn 0.159 0.185 0.259

**Density of states at the Fermi level**: 10.9 states/eV per cell
**Spin magnetization**: 0.0 μB per formula unit
**E**: -3.20 eV per atom

=====

Record 3
Computed, not measured: a geometry-optimized Si2NiP structure at the GGA-PBE level of DFT.

a = 2.672 Å, b = 3.374 Å, c = 6.218 Å
α = 90.00°, β = 90.00°, γ = 90.00°
Space group Pmm2 (No. 25)
One atom of each set of equivalent atoms:
Si 0.000 0.000 0.000
Si 0.500 0.500 0.231
Ni 0.000 0.000 0.438
P 0.500 0.500 0.628

**Density of states at the Fermi level**: 1.9 states/eV per cell
**Spin magnetization**: 0.0 μB per formula unit
**E**: -5.33 eV per atom

=====

Record 4
Computed, not measured: a geometry-optimized PmY4Ho3 structure at the GGA-PBE level of DFT.

a = 11.298 Å, b = 7.296 Å, c = 6.303 Å
α = 90.00°, β = 90.00°, γ = 90.00°
Space group Pmn2_1 (No. 31)
One atom of each set of equivalent atoms:
Pm 0.000 0.124 0.000
Y 0.000 0.374 0.497
Y 0.000 0.626 0.996
Y 0.249 0.626 0.333
Ho 0.000 0.876 0.499
Ho 0.250 0.124 0.330

**Excess energy over the best structure of this formula in the dataset**: 0 meV per atom
**Density of states at the Fermi level**: 27.9 states/eV per cell
**Spin magnetization**: 0.0 μB per formula unit

=====

Record 5
Computed, not measured: a geometry-optimized TbEr2Al6 structure at the GGA-PBE level of DFT.

a = 7.8984 Å, b = 7.8984 Å, c = 3.4475 Å
α = 90.00°, β = 90.00°, γ = 120.00°
Space group P6/mmm (No. 191)
One atom of each set of equivalent atoms:
Tb 0.0000 0.0000 0.0000
Er 0.3333 0.6667 0.0000
Al 0.0000 0.3341 0.5000

**Density of states at the Fermi level**: 1.6 states/eV per cell
**Spin magnetization**: 0.0 μB per formula unit
**E**: -4.52 eV per atom

=====

Record 6
Computed, not measured: a geometry-optimized Sr2CuAu2 structure at the GGA-PBE level of DFT.

a = 7.894 Å, b = 7.894 Å, c = 4.334 Å
α = 90.00°, β = 90.00°, γ = 90.00°
Space group P4/mbm (No. 127)
One atom of each set of equivalent atoms:
Sr 0.174 0.326 0.000
Cu 0.000 0.000 0.500
Au 0.130 0.630 0.500

**Excess energy over the best structure of this formula in the dataset**: 114 meV per atom
**Density of states at the Fermi level**: 3.0 states/eV per cell
**Spin magnetization**: 0.0 μB per formula unit

=====

| no. | V (A^3/atom) |
| --- | --- |
| 1 | 23.7 |
| 2 | 27.9 |
| 3 | 14.0 |
| 4 | 32.5 |
| 5 | 20.7 |
| 6 | 27.0 |